{
  "formula": "Sm2Zn5AgRu2",
  "functional": "PBE",
  "state": "optimized geometry",
  "magmom_total_mub_per_cell": 0.00,
  "spacegroup": "P4/mbm (127)",
  "formation_energy_ev_per_atom": -0.151,
  "e_tot_ev_per_cell": -77.4,
  "lattice": [[10.175, 0.000, 0.000], [0.000, 10.175, 0.000], [0.000, 0.000, 3.543]],
  "species": ["Sm", "Sm", "Sm", "Sm", "Zn", "Zn", "Zn", "Zn", "Zn", "Zn", "Zn", "Zn", "Zn", "Zn", "Ag", "Ag", "Ru", "Ru", "Ru", "Ru"],
  "fractional_positions": [[0.181, 0.319, 0.000], [0.319, 0.819, 0.000], [0.681, 0.181, 0.000], [0.819, 0.681, 0.000], [0.000, 0.500, 0.500], [0.054, 0.802, 0.500], [0.198, 0.054, 0.500], [0.302, 0.554, 0.500], [0.446, 0.302, 0.500], [0.500, 0.000, 0.500], [0.554, 0.698, 0.500], [0.698, 0.446, 0.500], [0.802, 0.946, 0.500], [0.946, 0.198, 0.500], [0.000, 0.000, 0.000], [0.500, 0.500, 0.000], [0.129, 0.629, 0.000], [0.371, 0.129, 0.000], [0.629, 0.871, 0.000], [0.871, 0.371, 0.000]]
}

---

{
  "formula": "AgSnRu",
  "functional": "PBE",
  "state": "optimized geometry",
  "magmom_total_mub_per_cell": 0.00,
  "spacegroup": "Cmcm (63)",
  "formation_energy_ev_per_atom": 0.075,
  "e_tot_ev_per_cell": -31.8,
  "lattice": [[1.590, -7.456, 0.000], [1.590, 7.456, 0.000], [0.000, 0.000, 4.468]],
  "species": ["Ag", "Ag", "Sn", "Sn", "Ru", "Ru"],
  "fractional_positions": [[0.235, 0.765, 0.750], [0.765, 0.235, 0.250], [0.085, 0.915, 0.250], [0.915, 0.085, 0.750], [0.429, 0.571, 0.250], [0.571, 0.429, 0.750]]
}

---

{
  "formula": "AgSnRu3",
  "functional": "PBE",
  "state": "optimized geometry",
  "magmom_total_mub_per_cell": 4.82,
  "spacegroup": "Pm-3m (221)",
  "formation_energy_ev_per_atom": 1.812,
  "e_tot_ev_per_cell": -25.6,
  "polymorph_energy_ev_per_atom": 0.000,
  "lattice": [[4.894, 0.000, 0.000], [0.000, 4.894, 0.000], [0.000, 0.000, 4.894]],
  "species": ["Ag", "Sn", "Ru", "Ru", "Ru"],
  "fractional_positions": [[0.000, 0.000, 0.000], [0.500, 0.500, 0.500], [0.000, 0.500, 0.500], [0.500, 0.000, 0.500], [0.500, 0.500, 0.000]]
}

---

{
  "formula": "AgSn2Ru2",
  "functional": "PBE",
  "state": "optimized geometry",
  "magmom_total_mub_per_cell": 0.00,
  "spacegroup": "P4/mbm (127)",
  "formation_energy_ev_per_atom": -0.001,
  "e_tot_ev_per_cell": -58.8,
  "polymorph_energy_ev_per_atom": 0.000,
  "lattice": [[7.560, 0.000, 0.000], [0.000, 7.560, 0.000], [0.000, 0.000, 3.220]],
  "species": ["Ag", "Ag", "Sn", "Sn", "Sn", "Sn", "Ru", "Ru", "Ru", "Ru"],
  "fractional_positions": [[0.000, 0.000, 0.000], [0.500, 0.500, 0.000], [0.157, 0.343, 0.500], [0.343, 0.843, 0.500], [0.657, 0.157, 0.500], [0.843, 0.657, 0.500], [0.140, 0.640, 0.000], [0.360, 0.140, 0.000], [0.640, 0.860, 0.000], [0.860, 0.360, 0.000]]
}